RbBaDySe3 | GGA-PBE | optimized geometry

Results
**Space-group type**: Pnma, No. 62
**Total energy**: -4.5356 eV per atom

Unit cell a=12.409 b=4.351 c=19.728 alpha=90.00 beta=90.00 gamma=90.00
Positions (direct):
Se 0.985 0.750 0.653
Ba 0.737 0.750 0.641
Se 0.485 0.750 0.847
Se 0.763 0.750 0.251
Ba 0.263 0.250 0.359
Rb 0.763 0.250 0.383
Dy 0.987 0.250 0.750
Se 0.237 0.250 0.749
Se 0.515 0.250 0.153
Rb 0.237 0.750 0.617
Rb 0.737 0.750 0.883
Se 0.737 0.250 0.751
Dy 0.487 0.250 0.750
Ba 0.237 0.750 0.859
Se 0.989 0.750 0.847
Dy 0.013 0.750 0.250
Rb 0.263 0.250 0.117
Se 0.015 0.250 0.347
Se 0.011 0.250 0.153
Dy 0.513 0.750 0.250
Ba 0.763 0.250 0.141
Se 0.511 0.250 0.347
Se 0.263 0.750 0.249
Se 0.489 0.750 0.653

LaNdAsO | GGA-PBE | optimized geometry

Results
**Space-group type**: P4/nmm, No. 129
**Energy above the lowest structure with this stoichiometry**: 29 meV/atom

Unit cell a=4.457 b=4.457 c=9.498 alpha=90.00 beta=90.00 gamma=90.00
Positions (direct):
O 0.750 0.250 0.000
As 0.250 0.250 0.707
La 0.250 0.250 0.107
Nd 0.250 0.750 0.500
La 0.750 0.750 0.893
O 0.250 0.750 0.000
As 0.750 0.750 0.293
Nd 0.750 0.250 0.500

RbGdHgTe3 | GGA-PBE | optimized geometry

Results
**Space-group type**: Pnma, No. 62
**Energy above the lowest structure with this stoichiometry**: 17 meV/atom

Unit cell a=16.426 b=4.548 c=12.065 alpha=90.00 beta=90.00 gamma=90.00
Positions (direct):
Te 0.409 0.750 0.126
Hg 0.982 0.750 0.606
Te 0.643 0.250 0.266
Rb 0.267 0.250 0.952
Gd 0.477 0.250 0.652
Gd 0.023 0.750 0.152
Gd 0.523 0.750 0.348
Te 0.095 0.750 0.919
Rb 0.767 0.250 0.548
Te 0.405 0.250 0.419
Te 0.591 0.250 0.874
Gd 0.977 0.250 0.848
Te 0.143 0.250 0.234
Te 0.909 0.750 0.374
Hg 0.018 0.250 0.394
Hg 0.482 0.750 0.894
Rb 0.733 0.750 0.048
Te 0.357 0.750 0.734
Te 0.857 0.750 0.766
Te 0.091 0.250 0.626
Rb 0.233 0.750 0.452
Te 0.595 0.750 0.581
Hg 0.518 0.250 0.106
Te 0.905 0.250 0.081

Cu2Ag3 | GGA-PBE | optimized geometry

Results
**Space-group type**: R3m, No. 160
**Energy above the lowest structure with this stoichiometry**: 60 meV/atom

Unit cell a=22.269 b=22.269 c=22.269 alpha=7.33 beta=7.33 gamma=7.33
Positions (direct):
Cu 0.996 0.996 0.996
Ag 0.601 0.601 0.601
Ag 0.399 0.399 0.399
Cu 0.801 0.801 0.801
Ag 0.695 0.695 0.695
Ag 0.203 0.203 0.203
Ag 0.102 0.102 0.102
Ag 0.500 0.500 0.500
Cu 0.301 0.301 0.301
Cu 0.902 0.902 0.902

Ta4Co2Se13 | GGA-PBE | optimized geometry

Results
**Space-group type**: C2/m, No. 12
**Total energy**: -6.2496 eV per atom

Unit cell a=7.110 b=7.110 c=19.647 alpha=107.69 beta=107.69 gamma=27.79
Positions (direct):
Ta 0.630 0.630 0.659
Se 0.195 0.195 0.582
Se 0.374 0.374 0.892
Se 0.607 0.607 0.787
Se 0.022 0.022 0.371
Ta 0.745 0.745 0.910
Se 0.978 0.978 0.629
Ta 0.255 0.255 0.090
Co 0.231 0.231 0.786
Ta 0.370 0.370 0.341
Se 0.133 0.133 0.953
Co 0.769 0.769 0.214
Se 0.000 0.000 0.500
Se 0.813 0.813 0.740
Se 0.187 0.187 0.260
Se 0.626 0.626 0.108
Se 0.867 0.867 0.047
Se 0.805 0.805 0.418
Se 0.393 0.393 0.213

NdO | GGA-PBE | optimized geometry

Results
**Space-group type**: R-3m, No. 166
**Energy above the lowest structure with this stoichiometry**: 2 meV/atom

Unit cell a=3.561 b=3.561 c=3.561 alpha=59.34 beta=59.34 gamma=59.34
Positions (direct):
Nd 0.000 0.000 0.000
O 0.500 0.500 0.500

NaTmZnTe3 | GGA-PBE | optimized geometry

Results
**Space-group type**: Pnma, No. 62
**Energy above the lowest structure with this stoichiometry**: 119 meV/atom

Unit cell a=8.695 b=4.421 c=17.852 alpha=90.00 beta=90.00 gamma=90.00
Positions (direct):
Na 0.954 0.250 0.710
Tm 0.265 0.250 0.044
Te 0.373 0.750 0.939
Tm 0.235 0.750 0.544
Te 0.728 0.750 0.786
Te 0.772 0.250 0.286
Na 0.046 0.750 0.290
Te 0.272 0.250 0.214
Te 0.873 0.750 0.561
Te 0.999 0.750 0.081
Te 0.499 0.750 0.419
Te 0.127 0.250 0.439
Na 0.454 0.250 0.790
Na 0.546 0.750 0.210
Te 0.627 0.250 0.061
Te 0.001 0.250 0.919
Te 0.228 0.750 0.714
Te 0.501 0.250 0.581
Zn 0.107 0.750 0.847
Zn 0.893 0.250 0.153
Tm 0.765 0.250 0.456
Zn 0.393 0.250 0.347
Zn 0.607 0.750 0.653
Tm 0.735 0.750 0.956

NaTcAuSe3 | GGA-PBE | optimized geometry

Results
**Space-group type**: P2_1/m, No. 11
**Energy above the lowest structure with this stoichiometry**: 0 meV/atom

Unit cell a=7.943 b=3.686 c=9.462 alpha=90.00 beta=107.26 gamma=90.00
Positions (direct):
Se 0.372 0.750 0.110
Au 0.501 0.250 0.619
Se 0.950 0.750 0.121
Au 0.499 0.750 0.381
Se 0.050 0.250 0.879
Se 0.628 0.250 0.890
Tc 0.817 0.750 0.830
Se 0.195 0.250 0.432
Na 0.232 0.750 0.713
Tc 0.183 0.250 0.170
Na 0.768 0.250 0.287
Se 0.805 0.750 0.568

Ni3Pd | GGA-PBE | optimized geometry

Results
**Space-group type**: P4/mmm, No. 123
**Total energy**: -5.4444 eV per atom

Unit cell a=3.654 b=3.654 c=3.626 alpha=90.00 beta=90.00 gamma=90.00
Site moments in Bohr magnetons follow the coordinates.
Positions (direct):
Ni 0.500 0.000 0.500  0.69
Pd 0.000 0.000 0.000  0.29
Ni 0.500 0.500 0.000  0.70
Ni 0.000 0.500 0.500  0.72

La2Zn5Pb | GGA-PBE | optimized geometry

Results
**Space-group type**: Cmcm, No. 63
**Total energy**: -2.8904 eV per atom

Unit cell a=8.752 b=8.752 c=9.208 alpha=90.00 beta=90.00 gamma=149.82
Positions (direct):
Zn 0.185 0.815 0.391
Zn 0.658 0.342 0.988
La 0.793 0.207 0.250
Zn 0.606 0.394 0.250
Zn 0.185 0.815 0.109
Zn 0.815 0.185 0.609
La 0.207 0.793 0.750
Zn 0.342 0.658 0.488
Pb 0.556 0.444 0.750
Zn 0.394 0.606 0.750
Zn 0.815 0.185 0.891
La 0.000 0.000 0.500
Pb 0.444 0.556 0.250
Zn 0.342 0.658 0.012
Zn 0.658 0.342 0.512
La 0.000 0.000 0.000

BW | GGA-PBE | optimized geometry

Results
**Space-group type**: F-43m, No. 216
**Energy above the lowest structure with this stoichiometry**: 1278 meV/atom

Unit cell a=3.427 b=3.427 c=3.427 alpha=60.00 beta=60.00 gamma=60.00
Positions (direct):
B 0.000 0.000 0.000
W 0.250 0.250 0.250

BeCuGeAu | GGA-PBE | optimized geometry

Results
**Space-group type**: F-43m, No. 216
**Energy above the lowest structure with this stoichiometry**: 21 meV/atom

Unit cell a=4.322 b=4.322 c=4.322 alpha=60.00 beta=60.00 gamma=60.00
Positions (direct):
Au 0.250 0.250 0.250
Be 0.500 0.500 0.500
Cu 0.750 0.750 0.750
Ge 0.000 0.000 0.000

TcAsPdO | GGA-PBE | optimized geometry

Results
**Space-group type**: Pmc2_1, No. 26
**Energy above the lowest structure with this stoichiometry**: 0 meV/atom

Unit cell a=2.957 b=6.709 c=6.206 alpha=90.00 beta=90.00 gamma=90.00
Positions (direct):
Pd 0.000 0.735 0.571
O 0.500 0.872 0.278
Pd 0.000 0.265 0.071
Tc 0.500 0.901 0.973
O 0.500 0.128 0.778
As 0.000 0.610 0.931
Tc 0.500 0.099 0.473
As 0.000 0.390 0.431

Y3Cd3GaAu2 | GGA-PBE | optimized geometry

Results
**Space-group type**: P-62m, No. 189
**Total energy**: -4.1395 eV per atom

Unit cell a=7.614 b=7.614 c=4.056 alpha=90.00 beta=90.00 gamma=120.00
Positions (direct):
Ga 0.000 0.000 0.000
Cd 0.750 0.750 0.500
Au 0.333 0.667 0.500
Au 0.667 0.333 0.500
Cd 0.250 0.000 0.500
Y 0.412 0.412 0.000
Y 0.000 0.588 0.000
Y 0.588 0.000 0.000
Cd 0.000 0.250 0.500

NaAgSnTe3 | GGA-PBE | optimized geometry

Results
**Space-group type**: P2_1/m, No. 11
**Energy above the lowest structure with this stoichiometry**: 1 meV/atom

Unit cell a=8.260 b=4.251 c=10.386 alpha=90.00 beta=102.86 gamma=90.00
Positions (direct):
Na 0.730 0.250 0.813
Ag 0.447 0.750 0.910
Na 0.270 0.750 0.187
Te 0.219 0.250 0.937
Te 0.439 0.750 0.637
Te 0.079 0.250 0.349
Te 0.921 0.750 0.651
Te 0.781 0.750 0.063
Sn 0.185 0.250 0.641
Te 0.561 0.250 0.363
Sn 0.815 0.750 0.359
Ag 0.553 0.250 0.090

AlCuHgW | GGA-PBE | optimized geometry

Results
**Space-group type**: F-43m, No. 216
**Energy above the lowest structure with this stoichiometry**: 106 meV/atom

Unit cell a=4.530 b=4.530 c=4.530 alpha=60.00 beta=60.00 gamma=60.00
Positions (direct):
W 0.500 0.500 0.500
Cu 0.750 0.750 0.750
Hg 0.250 0.250 0.250
Al 0.000 0.000 0.000

In4CoIr | GGA-PBE | optimized geometry

Results
**Space-group type**: Pmma, No. 51
**Energy above the lowest structure with this stoichiometry**: 78 meV/atom

Unit cell a=9.436 b=3.241 c=7.695 alpha=90.00 beta=90.00 gamma=90.00
Site moments in Bohr magnetons follow the coordinates.
Positions (direct):
In 0.750 0.500 0.332  -0.01
In 0.000 0.000 0.500  -0.01
Ir 0.750 0.000 0.038  -0.01
In 0.081 0.500 0.166  -0.01
Co 0.750 0.000 0.630  0.44
In 0.919 0.500 0.834  -0.01
In 0.500 0.000 0.500  -0.01
Ir 0.250 0.000 0.962  -0.01
In 0.419 0.500 0.166  -0.01
In 0.581 0.500 0.834  -0.01
Co 0.250 0.000 0.370  0.44
In 0.250 0.500 0.668  -0.01

FeCuNiAs | GGA-PBE | optimized geometry

Results
**Space-group type**: F-43m, No. 216
**Energy above the lowest structure with this stoichiometry**: 0 meV/atom

Unit cell a=4.038 b=4.038 c=4.038 alpha=60.00 beta=60.00 gamma=60.00
Site moments in Bohr magnetons follow the coordinates.
Positions (direct):
As 0.000 0.000 0.000  -0.03
Fe 0.250 0.250 0.250  1.71
Cu 0.500 0.500 0.500  0.03
Ni 0.750 0.750 0.750  0.10

CsAg3PbS4 | GGA-PBE | optimized geometry

Results
**Space-group type**: P-43m, No. 215
**Total energy**: -3.4759 eV per atom

Unit cell a=6.635 b=6.635 c=6.635 alpha=90.00 beta=90.00 gamma=90.00
Positions (direct):
S 0.284 0.284 0.284
S 0.716 0.284 0.716
Ag 0.500 0.000 0.500
Cs 0.000 0.000 0.000
Ag 0.500 0.500 0.000
Ag 0.000 0.500 0.500
S 0.716 0.716 0.284
S 0.284 0.716 0.716
Pb 0.500 0.500 0.500

LiCoAgTe3 | GGA-PBE | optimized geometry

Results
**Space-group type**: Cmcm, No. 63
**Total energy**: -3.7021 eV per atom

Unit cell a=6.913 b=6.913 c=10.749 alpha=90.00 beta=90.00 gamma=148.12
Positions (direct):
Te 0.131 0.869 0.497
Co 0.500 0.500 0.500
Ag 0.113 0.887 0.250
Te 0.869 0.131 0.503
Te 0.131 0.869 0.003
Ag 0.887 0.113 0.750
Te 0.869 0.131 0.997
Li 0.772 0.228 0.250
Te 0.444 0.556 0.250
Li 0.228 0.772 0.750
Co 0.500 0.500 0.000
Te 0.556 0.444 0.750